# Ga3Sn3Hg

Crystalline Ga3Sn3Hg at its relaxed geometry (PBE-GGA, the Alexandria database).

Calculated values
DOS at the Fermi energy (states/eV/f.u.): 8.24
Crystal system: cubic
Electronic total energy (eV per atom): -2.833
Space-group type: Pm-3n, No. 223
Formation enthalpy at 0 K (eV/atom): 0.2230

abc: 7.683 7.683 7.683
angles: 90.00 90.00 90.00
Element x y z (fractional)
Sn 0.000 0.500 0.250
Sn 0.500 0.750 0.000
Ga 0.500 0.000 0.750
Ga 0.000 0.250 0.500
Sn 0.500 0.250 0.000
Ga 0.000 0.750 0.500
Hg 0.000 0.000 0.000
Ga 0.250 0.500 0.000
Sn 0.250 0.000 0.500
Ga 0.750 0.500 0.000
Sn 0.000 0.500 0.750
Hg 0.500 0.500 0.500
Ga 0.500 0.000 0.250
Sn 0.750 0.000 0.500

# AgSb2

Crystalline AgSb2 at its relaxed geometry (PBE-GGA, the Alexandria database).

Calculated values
DOS at the Fermi energy (states/eV/f.u.): 2.00
Crystal system: hexagonal
Formation energy without anion corrections (meV per atom): 242
Electronic total energy (eV per atom): -3.456
Space-group type: P6/mmm, No. 191

abc: 5.374 5.374 3.068
angles: 90.00 90.00 120.00
Element x y z (fractional)
Ag 0.000 0.000 0.000
Sb 0.333 0.667 0.500
Sb 0.667 0.333 0.500

- What is the electronic total energy in the second record?
  -3.456 eV per atom